Entry 1:
First-principles (GGA-PBE) data for KCuBr2 after structural relaxation, as listed in Alexandria.

Summary:
space-group type	Pna2_1 (33)
formation energy from raw total energies	-92.9	kJ/mol of atoms
ΔE to the lowest computed polymorph	0.034	eV per atom
volume	483	Å³/cell

a = 6.776 Å, b = 10.834 Å, c = 6.578 Å
α = 90.00°, β = 90.00°, γ = 90.00°
Fractional coordinates of all 16 atoms:
K (0.069, 0.127, 0.000)
K (0.431, 0.627, 0.500)
K (0.569, 0.373, 0.000)
K (0.931, 0.873, 0.500)
Cu (0.063, 0.373, 0.422)
Cu (0.437, 0.873, 0.922)
Cu (0.563, 0.127, 0.422)
Cu (0.937, 0.627, 0.922)
Br (0.062, 0.426, 0.055)
Br (0.086, 0.827, 0.014)
Br (0.414, 0.327, 0.514)
Br (0.438, 0.926, 0.555)
Br (0.562, 0.074, 0.055)
Br (0.586, 0.673, 0.014)
Br (0.914, 0.173, 0.514)
Br (0.938, 0.574, 0.555)

=====

Entry 2:
First-principles (GGA-PBE) data for Pr2NdIr after structural relaxation, as listed in Alexandria.

Summary:
energy of formation	-0.392	eV per atom
space-group type	Cmcm (63)
ΔE to the lowest computed polymorph	0.036	eV per atom
volume	486	Å³/cell

a = 3.977 Å, b = 12.297 Å, c = 9.933 Å
α = 90.00°, β = 90.00°, γ = 90.00°
Fractional coordinates of all 16 atoms:
Pr (0.000, 0.141, 0.068)
Pr (0.000, 0.141, 0.432)
Pr (0.000, 0.859, 0.568)
Pr (0.000, 0.859, 0.932)
Pr (0.500, 0.359, 0.568)
Pr (0.500, 0.359, 0.932)
Pr (0.500, 0.641, 0.068)
Pr (0.500, 0.641, 0.432)
Nd (0.000, 0.417, 0.250)
Nd (0.000, 0.583, 0.750)
Nd (0.500, 0.083, 0.750)
Nd (0.500, 0.917, 0.250)
Ir (0.000, 0.260, 0.750)
Ir (0.000, 0.740, 0.250)
Ir (0.500, 0.240, 0.250)
Ir (0.500, 0.760, 0.750)

=====

Entry 3:
First-principles (GGA-PBE) data for CdPPd2 after structural relaxation, as listed in Alexandria.

Summary:
energy of formation	-0.182	eV per atom
space-group type	I-42d (122)
ΔE to the lowest computed polymorph	0.217	eV per atom
volume	285	Å³/cell

a = 7.153 Å, b = 7.153 Å, c = 5.560 Å
α = 90.00°, β = 90.00°, γ = 90.00°
Fractional coordinates of all 16 atoms:
Cd (0.000, 0.000, 0.000)
Cd (0.000, 0.500, 0.250)
Cd (0.500, 0.000, 0.750)
Cd (0.500, 0.500, 0.500)
P (0.000, 0.000, 0.500)
P (0.000, 0.500, 0.750)
P (0.500, 0.000, 0.250)
P (0.500, 0.500, 0.000)
Pd (0.180, 0.750, 0.625)
Pd (0.250, 0.180, 0.375)
Pd (0.250, 0.320, 0.875)
Pd (0.320, 0.750, 0.125)
Pd (0.680, 0.250, 0.125)
Pd (0.750, 0.680, 0.875)
Pd (0.750, 0.820, 0.375)
Pd (0.820, 0.250, 0.625)

=====

Entry 4:
First-principles (GGA-PBE) data for CaZnTc2 after structural relaxation, as listed in Alexandria.

Summary:
energy of formation	0.287	eV per atom
space-group type	Cm (8)
volume	158	Å³/cell

a = 8.236 Å, b = 3.157 Å, c = 6.152 Å
α = 90.00°, β = 99.05°, γ = 90.00°
Fractional coordinates of all 8 atoms:
Ca (0.000, 0.000, 0.000)
Ca (0.500, 0.500, 0.000)
Zn (0.264, 0.500, 0.317)
Zn (0.764, 0.000, 0.317)
Tc (0.003, 0.500, 0.529)
Tc (0.229, 0.000, 0.657)
Tc (0.503, 0.000, 0.529)
Tc (0.729, 0.500, 0.657)

=====

Number 1: D(E_F) 0.00 states/eV/atom. Number 2: D(E_F) 1.34 states/eV/atom. Number 3: D(E_F) 0.45 states/eV/atom. Number 4: D(E_F) 0.81 states/eV/atom.